Entry w
DFT (GGA-PBEsol) results for a relaxed IrRu2Pt crystal.

Summary:
Magnetization, μB per atom: 0.0000

abc: 4.6803 4.6803 4.6756
angles: 99.38 99.38 33.37
Closest atoms and distances in Å follow each position.
Fractional coordinates of all 4 atoms:
Ir 0.0000 0.0000 0.0000  7 Ru 2.64-2.76, 2 Ir 2.69, 3 Pt 2.69-2.75
Ru 0.4921 0.4921 0.4829  4 Ir 2.64-2.76, 5 Ru 2.66-2.71, 3 Pt 2.69-2.73
Ru 0.7469 0.7469 0.2425  5 Ru 2.66-2.71, 3 Ir 2.67-2.70, 4 Pt 2.68-2.71
Pt 0.2454 0.2454 0.7387  7 Ru 2.68-2.73, 2 Pt 2.69, 3 Ir 2.69-2.75

=====

Entry x
DFT (GGA-PBEsol) results for a relaxed IrRu2Pt crystal.

Summary:
Magnetization, μB per atom: 0.0000

abc: 9.0011 9.0011 9.0011
angles: 17.19 17.19 17.19
Closest atoms and distances in Å follow each position.
Fractional coordinates of all 4 atoms:
Ir 0.0000 0.0000 0.0000  6 Ru 2.67, 6 Ir 2.69
Ru 0.2518 0.2518 0.2518  3 Ir 2.67, 6 Ru 2.69, 3 Pt 2.75
Ru 0.7482 0.7482 0.7482  3 Ir 2.67, 6 Ru 2.69, 3 Pt 2.75
Pt 0.5000 0.5000 0.5000  6 Pt 2.69, 6 Ru 2.75

=====

Of them, the most stable is entry w and the least stable is entry x.

=====

Entry w
DFT (GGA-PBEsol) results for a relaxed SbIrPt crystal.

Summary:
Magnetization, μB per atom: 0.0001

abc: 4.3313 4.3313 4.3313
angles: 60.00 60.00 60.00
Closest atoms and distances in Å follow each position.
Fractional coordinates of all 3 atoms:
Sb 0.0000 0.0000 0.0000  4 Pt 2.65
Ir 0.5000 0.5000 0.5000  4 Pt 2.65
Pt 0.7500 0.7500 0.7500  4 Sb 2.65, 4 Ir 2.65

=====

Entry x
DFT (GGA-PBEsol) results for a relaxed SbIrPt crystal.

Summary:
Magnetization, μB per atom: 0.0001

abc: 4.2369 4.2369 3.3500
angles: 90.00 90.00 120.00
Closest atoms and distances in Å follow each position.
Fractional coordinates of all 3 atoms:
Sb 0.0000 0.0000 0.0000  3 Ir 2.56, 3 Pt 2.67
Ir 0.3333 0.6667 0.2280  3 Sb 2.56
Pt 0.6667 0.3333 0.6797  3 Sb 2.67, 3 Ir 2.88

=====

Of them, the most stable is entry x and the least stable is entry w.